# 1
! PmCoC, optimized geometry, DFT PBE; values from VASP
! * ΔE to the lowest computed polymorph: 0.0 meV/atom
! * VASP energy: -7.24 eV per atom
! * formation enthalpy at 0 K: -0.214 eV per atom
&SYSTEM
  ibrav = 0, nat = 6, ntyp = 3
/
ATOMIC_SPECIES
Co 58.93 Co.upf
C 12.01 C.upf
Pm 145.00 Pm.upf
CELL_PARAMETERS angstrom
3.6486 0.0000 0.0000
0.0000 3.6486 0.0000
0.0000 0.0000 7.3170
ATOMIC_POSITIONS angstrom
Co 1.8243 1.8243 0.0000
Co 1.8243 1.8243 3.6585
C 1.8243 0.0000 3.6585
C 0.0000 1.8243 0.0000
Pm 0.0000 0.0000 1.8292
Pm 0.0000 0.0000 5.4877



# 2
! PmCo3C, optimized geometry, DFT PBE; values from VASP
! * ΔE to the lowest computed polymorph: 170.7 meV/atom
! * VASP energy: -6.93 eV per atom
! * formation enthalpy at 0 K: 0.133 eV per atom
&SYSTEM
  ibrav = 0, nat = 10, ntyp = 3
/
ATOMIC_SPECIES
C 12.01 C.upf
Co 58.93 Co.upf
Pm 145.00 Pm.upf
CELL_PARAMETERS angstrom
-1.6655 -2.2056 4.1672
-1.8943 -5.3913 -0.6105
3.5323 -3.8675 2.3649
ATOMIC_POSITIONS angstrom
C -2.0113 -7.6256 4.1604
C 1.9838 -3.8389 1.7612
Co 0.0033 -3.7206 1.0322
Co 1.7662 -1.9338 1.1824
Co -0.0307 -7.7438 4.8894
Co 1.5118 -8.1564 2.2874
Co -1.5392 -3.3080 3.6341
Co 0.9334 -3.0365 3.2660
Pm -0.8327 -1.1028 2.0836
Pm -0.0137 -5.7322 2.9608



# 3
! Pm2CoC, optimized geometry, DFT PBE; values from VASP
! * VASP energy: -6.64 eV per atom
! * formation enthalpy at 0 K: -0.186 eV per atom
&SYSTEM
  ibrav = 0, nat = 8, ntyp = 3
/
ATOMIC_SPECIES
Co 58.93 Co.upf
Pm 145.00 Pm.upf
C 12.01 C.upf
CELL_PARAMETERS angstrom
3.6443 0.0000 0.0000
0.0000 7.3591 0.0058
-1.8222 -1.8379 6.7641
ATOMIC_POSITIONS angstrom
Co 1.8201 1.8398 0.0015
Co 1.8242 5.5193 0.0044
Pm 1.8180 1.8426 5.0580
Pm 0.0041 3.6786 1.7119
Pm 1.8263 5.5221 5.0609
Pm -0.0041 -0.0009 1.7090
C 3.6420 1.8398 0.0015
C 0.0023 5.5193 0.0044



# 4
! Pm2Co5C4, optimized geometry, DFT PBE; values from VASP
! * VASP energy: -7.47 eV per atom
! * formation enthalpy at 0 K: -0.022 eV per atom
&SYSTEM
  ibrav = 0, nat = 11, ntyp = 3
/
ATOMIC_SPECIES
Co 58.93 Co.upf
Pm 145.00 Pm.upf
C 12.01 C.upf
CELL_PARAMETERS angstrom
-4.3194 -1.3975 -1.9907
-2.8216 -3.8579 2.6585
-4.5624 2.9068 1.6868
ATOMIC_POSITIONS angstrom
Co -1.4108 -1.9290 1.3292
Co -2.1597 -0.6988 -0.9954
Co -4.7718 -0.8250 1.6750
Co -3.5705 -2.6277 0.3339
Co -6.9315 -1.5237 0.6796
Pm -5.0515 -0.2989 -1.1735
Pm -3.8303 1.8082 0.8695
C -2.9967 -0.7540 0.8596
C -6.3031 0.2679 1.1442
C -5.4003 -2.6166 1.2103
C -8.7066 -1.5947 1.4949



# 5
! PmCo7C2, optimized geometry, DFT PBE; values from VASP
! * VASP energy: -7.01 eV per atom
! * formation enthalpy at 0 K: 0.284 eV per atom
&SYSTEM
  ibrav = 0, nat = 10, ntyp = 3
/
ATOMIC_SPECIES
Co 58.93 Co.upf
Pm 145.00 Pm.upf
C 12.01 C.upf
CELL_PARAMETERS angstrom
3.9180 0.0000 0.0000
0.0000 6.0163 -0.1660
0.0000 -2.8031 5.3260
ATOMIC_POSITIONS angstrom
Co 0.0000 -0.1907 3.6993
Co 1.9590 3.8731 3.3449
Co 0.0000 3.4040 1.4608
Co 1.9590 1.2933 4.9514
Co 1.9590 1.6066 2.5800
Co 1.9590 1.9200 0.2086
Co 1.9590 -0.6598 1.8151
Pm 0.0000 0.0000 0.0000
C 1.9590 -0.1099 3.6489
C 1.9590 3.3232 1.5111



# 6
! PmCo3C2, optimized geometry, DFT PBE; values from VASP
! * VASP energy: -7.42 eV per atom
! * formation enthalpy at 0 K: -0.004 eV per atom
&SYSTEM
  ibrav = 0, nat = 12, ntyp = 3
/
ATOMIC_SPECIES
Co 58.93 Co.upf
C 12.01 C.upf
Pm 145.00 Pm.upf
CELL_PARAMETERS angstrom
3.5065 0.0000 0.0000
-1.7533 6.2569 -0.0659
0.0000 -2.8972 6.3210
ATOMIC_POSITIONS angstrom
Co 0.0000 2.1280 3.6847
Co 1.7533 3.8010 3.7986
Co 1.7533 -0.6489 4.2804
Co 0.0000 4.0086 1.9747
Co 0.0000 -0.4412 2.4565
Co 1.7533 1.2318 2.5704
C 0.0000 3.7213 4.6744
C 1.7533 -0.3615 1.5807
C 1.7533 3.0867 1.9573
C 0.0000 0.2731 4.2978
Pm 0.0000 1.5992 0.3224
Pm 1.7533 1.7606 5.9327



# 7
! Pm2Co5C, optimized geometry, DFT PBE; values from VASP
! * VASP energy: -6.68 eV per atom
! * formation enthalpy at 0 K: 0.105 eV per atom
&SYSTEM
  ibrav = 0, nat = 8, ntyp = 3
/
ATOMIC_SPECIES
Co 58.93 Co.upf
Pm 145.00 Pm.upf
C 12.01 C.upf
CELL_PARAMETERS angstrom
-0.7981 -1.3350 5.4350
-3.9241 -0.6075 -4.0238
3.1497 -3.0352 -3.5813
ATOMIC_POSITIONS angstrom
Co -0.5947 -1.5703 0.8917
Co -0.9649 -3.3463 -2.9343
Co -2.1237 -1.1926 -3.8479
Co -0.1964 -0.9238 -1.9288
Co 1.3623 -2.3890 -3.6298
Pm 0.9879 -3.0690 -0.9186
Pm -2.5490 -1.8551 -1.1398
C -0.0129 -0.0606 -0.1265



# 8
! Pm2Co2Si2C, optimized geometry, DFT PBE; values from VASP
! * VASP energy: -6.88 eV per atom
! * formation energy (no corrections): -4.37 eV/f.u.
&SYSTEM
  ibrav = 0, nat = 7, ntyp = 4
/
ATOMIC_SPECIES
Co 58.93 Co.upf
Pm 145.00 Pm.upf
Si 28.09 Si.upf
C 12.01 C.upf
CELL_PARAMETERS angstrom
-2.8610 2.6914 0.5139
-2.3962 1.3311 -5.0424
-5.1800 -2.5916 0.0032
ATOMIC_POSITIONS angstrom
Co -3.4642 2.3654 -1.1369
Co -6.9730 -0.9345 -3.3883
Pm -5.6500 -0.0637 -0.5836
Pm -4.7872 1.4946 -3.9417
Si -7.5783 1.1969 -2.6528
Si -2.8589 0.2340 -1.8725
C 0.0000 0.0000 0.0000